Entry 1:
Ba12Mg3Au5 | Alexandria via LeMat-Bulk | GGA-PBE | relaxed; energy of formation = -0.219 eV/atom; calculated volume = 1046.46 Å³/f.u.; symmetry = No. 230
1.0
17.5847 0.0000 0.0000
-5.8616 16.5790 0.0000
-5.8616 -8.2895 14.3578
Mg Au Ba
12 20 48
direct
0.7500 0.3750 0.1250 Mg
0.8750 0.7500 0.1250 Mg
0.3750 0.7500 0.6250 Mg
0.2500 0.1250 0.3750 Mg
0.8750 0.1250 0.2500 Mg
0.3750 0.6250 0.2500 Mg
0.6250 0.3750 0.7500 Mg
0.1250 0.8750 0.7500 Mg
0.7500 0.8750 0.6250 Mg
0.6250 0.2500 0.3750 Mg
0.1250 0.2500 0.8750 Mg
0.2500 0.6250 0.8750 Mg
0.1250 0.3750 0.2500 Au
0.0000 0.5000 0.0000 Au
0.0000 0.0000 0.0000 Au
0.3750 0.2500 0.1250 Au
0.5000 0.0000 0.5000 Au
0.5000 0.5000 0.0000 Au
0.1250 0.7500 0.3750 Au
0.7500 0.1250 0.8750 Au
0.7500 0.6250 0.3750 Au
0.3750 0.1250 0.7500 Au
0.6250 0.8750 0.2500 Au
0.5000 0.5000 0.5000 Au
0.5000 0.0000 0.0000 Au
0.0000 0.0000 0.5000 Au
0.2500 0.3750 0.6250 Au
0.2500 0.8750 0.1250 Au
0.0000 0.5000 0.5000 Au
0.8750 0.2500 0.6250 Au
0.6250 0.7500 0.8750 Au
0.8750 0.6250 0.7500 Au
0.7109 0.1213 0.0353 Ba
0.3244 0.5353 0.4141 Ba
0.9647 0.3787 0.2891 Ba
0.5353 0.2109 0.1213 Ba
0.5897 0.7109 0.6756 Ba
0.9647 0.5859 0.1756 Ba
0.3244 0.7891 0.4103 Ba
0.0859 0.9103 0.1213 Ba
0.5859 0.9647 0.6756 Ba
0.7109 0.5897 0.1756 Ba
0.7891 0.4647 0.3787 Ba
0.8244 0.9141 0.0353 Ba
0.1213 0.7109 0.5353 Ba
0.3787 0.4141 0.0897 Ba
0.0897 0.9141 0.3787 Ba
0.4103 0.1213 0.5859 Ba
0.0897 0.1756 0.2109 Ba
0.4647 0.6756 0.0859 Ba
0.8244 0.9103 0.2891 Ba
0.1213 0.4103 0.0859 Ba
0.3787 0.9647 0.7891 Ba
0.5859 0.6213 0.4103 Ba
0.9141 0.8244 0.5353 Ba
0.7891 0.3244 0.9103 Ba
0.4141 0.3787 0.5897 Ba
0.0859 0.1756 0.4647 Ba
0.2109 0.6756 0.0897 Ba
0.1756 0.0897 0.7109 Ba
0.6213 0.0353 0.2109 Ba
0.8787 0.5897 0.9141 Ba
0.5353 0.3244 0.9141 Ba
0.5897 0.8787 0.4141 Ba
0.9103 0.8244 0.7891 Ba
0.9103 0.0859 0.6213 Ba
0.8787 0.2891 0.4647 Ba
0.1756 0.0859 0.9647 Ba
0.6213 0.5859 0.9103 Ba
0.4141 0.0353 0.3244 Ba
0.2891 0.4103 0.8244 Ba
0.2109 0.5353 0.6213 Ba
0.9141 0.0897 0.8787 Ba
0.6756 0.2109 0.5897 Ba
0.4647 0.7891 0.8787 Ba
0.0353 0.4141 0.8244 Ba
0.4103 0.2891 0.3244 Ba
0.0353 0.6213 0.7109 Ba
0.6756 0.4647 0.5859 Ba
0.2891 0.8787 0.9647 Ba

Entry 2:
K2BaSr | Alexandria via LeMat-Bulk | GGA-PBE | relaxed; energy of formation = 0.062 eV/atom; calculated volume = 261.34 Å³/f.u.; symmetry = No. 99
1.0
4.3496 0.0000 0.0000
0.0000 4.3496 0.0000
0.0000 0.0000 13.8135
Sr K Ba
1 2 1
direct
0.0000 0.0000 0.5063 Sr
0.0000 0.0000 0.9964 K
0.5000 0.5000 0.2607 K
0.5000 0.5000 0.7363 Ba